The following is a PBE with a Hubbard U calculation of a relaxed Ni3P4O14 crystal, from the Alexandria database.

Output
ΔE to the lowest computed polymorph, meV/atom: 28.6
Magnetic moment, μB per atom: 0.24
Calculated volume, Å³/atom: 12.10
DOS at the Fermi energy, states/eV/cell: 13.15
E, eV per atom: -6.398

Cell: 6.352 8.495 10.009 Å, 109.21 93.46 91.73°
Space group P-1 (No. 2)
Inequivalent atoms, fractional coordinates:
Ni: 0.000 0.000 0.000 x1
Ni: 0.145 0.623 0.943 x2
Ni: 0.195 0.601 0.365 x2
Ni: 0.500 0.000 0.500 x1
P: 0.024 0.752 0.681 x2
P: 0.221 0.947 0.278 x2
P: 0.315 0.325 0.703 x2
P: 0.338 0.299 0.999 x2
O: 0.032 0.070 0.331 x2
O: 0.098 0.794 0.840 x2
O: 0.113 0.421 0.738 x2
O: 0.161 0.859 0.119 x2
O: 0.169 0.433 0.040 x2
O: 0.176 0.364 0.357 x2
O: 0.190 0.683 0.578 x2
O: 0.230 0.837 0.373 x2
O: 0.266 0.132 0.010 x2
O: 0.281 0.160 0.581 x2
O: 0.387 0.272 0.838 x2
O: 0.436 0.047 0.320 x2
O: 0.451 0.634 0.917 x2
O: 0.496 0.427 0.672 x2